K4ReAu: PBEsol geometry, SCAN.

Cell and atoms, written as POSCAR:
```
K4ReAu
1.0
-3.897 -0.988 5.200
-6.265 -1.782 -0.880
-1.933 -6.088 1.548
K Re Au
4 1 1
Cartesian
-7.680 -4.212 1.752 K
-6.488 -3.812 4.814 K
-5.499 -6.380 2.975 K
-4.525 -3.314 2.195 K
-9.072 -6.644 4.401 Re
0.000 0.000 0.000 Au
```

=====

KReAu3: PBEsol geometry, SCAN.

Cell and atoms, written as POSCAR:
```
KReAu3
1.0
-0.727 -0.391 5.055
4.188 -2.926 0.376
2.859 4.186 0.735
Au Re K
3 1 1
Cartesian
-0.364 -0.195 2.528 Au
1.430 2.093 0.367 Au
2.094 -1.463 0.188 Au
3.160 0.435 3.083 Re
0.000 0.000 0.000 K
```

=====

K2ReAu: PBEsol geometry, SCAN.

Cell and atoms, written as POSCAR:
```
K2ReAu
1.0
-2.467 2.912 1.195
-2.310 -0.644 -3.200
-0.535 -4.778 3.846
K Au Re
2 1 1
Cartesian
-2.695 -0.367 2.019 K
-2.617 -2.144 -0.179 K
0.000 0.000 0.000 Au
-2.389 1.134 -1.003 Re
```

=====

KRh2Au: PBEsol geometry, SCAN.

Cell and atoms, written as POSCAR:
```
KRh2Au
1.0
-2.626 -0.279 -0.895
-1.258 -2.486 0.122
-4.671 1.239 8.980
Rh K Au
2 1 1
Cartesian
-6.339 -1.194 5.943 Rh
-2.216 -0.332 2.264 Rh
0.000 0.000 0.000 K
-4.277 -0.763 4.103 Au
```

=====

KRhAu2: PBEsol geometry, SCAN.

Cell and atoms, written as POSCAR:
```
KRhAu2
1.0
2.731 0.000 0.095
0.000 4.585 0.000
-0.254 0.000 6.860
Rh K Au
1 1 2
Cartesian
0.797 2.292 6.042 Rh
0.905 0.000 3.397 K
2.152 0.000 6.409 Au
2.339 2.292 1.540 Au
```

=====

KRh2Au: PBEsol geometry, SCAN.

Cell and atoms, written as POSCAR:
```
KRh2Au
1.0
-3.878 1.823 -1.660
-2.198 -2.049 -3.477
-4.024 -2.092 0.741
Au Rh K
1 2 1
Cartesian
0.000 0.000 0.000 Au
-2.525 -0.580 -1.099 Rh
-7.575 -1.739 -3.297 Rh
-5.050 -1.159 -2.198 K
```

=====

KRu2Au: PBEsol geometry, SCAN.

Cell and atoms, written as POSCAR:
```
KRu2Au
1.0
2.536 0.000 0.000
0.000 5.520 0.045
0.000 -2.692 4.819
Ru K Au
2 1 1
Cartesian
0.000 2.760 0.022 Ru
0.000 -1.346 2.410 Ru
1.268 1.414 2.432 K
1.268 0.000 0.000 Au
```

=====

KRu2Au: PBEsol geometry, SCAN.

Cell and atoms, written as POSCAR:
```
KRu2Au
1.0
4.594 0.000 0.000
2.297 3.978 0.000
2.297 1.326 3.751
Au Ru K
1 2 1
Cartesian
0.000 0.000 0.000 Au
2.297 1.326 0.938 Ru
6.891 3.978 2.813 Ru
4.594 2.652 1.875 K
```

=====

One value per record, in order, for final energy: -27.61; -55.04; -38.15; -35.70; -45.00; -35.45; -35.74; -35.49 eV/atom.
One value per record, in order, for formation energy from the elements: 1.3221; 2.3417; 1.0813; 0.5577; 0.1003; 0.8099; 1.0459; 1.2985 eV per atom.